Density functional theory data (PBE) for a geometry-optimized KNb2Br structure.

Cell: 4.991 4.991 4.991 Å, 60.00 60.00 60.00°
Each line ends with the local moment (μB).
Fractional positions:
Nb1 0.250 0.250 0.250  1.19
Nb2 0.750 0.750 0.750  1.19
K1 0.000 0.000 0.000  0.09
Br1 0.500 0.500 0.500  -0.01

- SG = Fm-3m, No. 225
- ρ (kg/m³) = 5758
- energy above the lowest structure with this stoichiometry (eV/atom) = 0.792
- raw formation energy (meV/atom) = 1728

***

Density functional theory data (PBE) for a geometry-optimized Mn2AsCl structure.

Cell: 3.220 3.220 7.028 Å, 90.00 90.00 102.82°
Each line ends with the local moment (μB).
Fractional positions:
As1 0.500 0.500 0.250  -0.10
Mn1 0.000 0.000 0.469  3.81
Mn2 0.000 0.000 0.031  3.81
Cl1 0.500 0.500 0.750  0.09

- SG = Cmmm, No. 65
- ρ (kg/m³) = 5148
- energy above the lowest structure with this stoichiometry (eV/atom) = 0.216
- raw formation energy (meV/atom) = 18

***

Density functional theory data (PBE) for a geometry-optimized Tm6BiRu2 structure.

Cell: 8.449 8.449 8.449 Å, 104.62 113.01 110.89°
Fractional positions:
Tm1 0.686 0.332 0.018
Tm2 0.784 0.545 0.760
Tm3 0.216 0.976 0.760
Tm4 0.784 0.024 0.240
Tm5 0.532 0.819 0.713
Tm6 0.314 0.668 0.982
Tm7 0.468 0.181 0.287
Tm8 0.314 0.332 0.646
Tm9 0.216 0.455 0.240
Tm10 0.106 0.819 0.287
Tm11 0.686 0.668 0.354
Tm12 0.894 0.181 0.713
Ru1 0.500 0.129 0.629
Ru2 0.333 0.333 0.000
Ru3 0.667 0.667 0.000
Ru4 0.500 0.871 0.371
Bi1 0.000 0.500 0.500
Bi2 0.000 0.000 0.000

- SG = Immm, No. 71
- ρ (kg/m³) = 10250
- calculated formation energy (eV per formula unit) = -4.102

***

Density functional theory data (PBE) for a geometry-optimized ScMoSeBr2 structure.

Cell: 5.101 5.101 5.099 Å, 90.00 90.00 90.00°
Each line ends with the local moment (μB).
Fractional positions:
Se1 0.000 0.000 0.500  -0.01
Sc1 0.500 0.500 0.500  0.29
Mo1 0.000 0.000 0.000  1.98
Br1 0.500 0.000 0.000  0.04
Br2 0.000 0.500 0.000  0.04

- SG = P4/mmm, No. 123
- ρ (kg/m³) = 4752
- energy above the lowest structure with this stoichiometry (eV/atom) = 0.235
- raw formation energy (meV/atom) = 118

***

Density functional theory data (PBE) for a geometry-optimized Be2NiBr6 structure.

Cell: 6.344 9.509 9.509 Å, 88.04 109.62 109.62°
Each line ends with the local moment (μB).
Fractional positions:
Ni1 0.250 0.767 0.233  1.37
Ni2 0.750 0.233 0.767  1.37
Br1 0.106 0.827 0.417  0.07
Br2 0.606 0.417 0.827  0.07
Br3 0.394 0.583 0.173  0.07
Br4 0.628 0.746 0.621  0.02
Br5 0.872 0.379 0.254  0.02
Br6 0.372 0.254 0.379  0.02
Br7 0.567 0.988 0.214  0.12
Br8 0.933 0.786 0.012  0.12
Br9 0.894 0.173 0.583  0.07
Br10 0.128 0.621 0.746  0.02
Br11 0.067 0.214 0.988  0.12
Br12 0.433 0.012 0.786  0.12
Be1 0.335 0.808 0.644  0.00
Be2 0.165 0.356 0.192  0.00
Be3 0.835 0.644 0.808  0.00
Be4 0.665 0.192 0.356  0.00

- SG = C2/c, No. 15
- ρ (kg/m³) = 3643
- raw formation energy (meV/atom) = -705

***

Density functional theory data (PBE) for a geometry-optimized TmNpSc structure.

Cell: 3.484 5.569 8.003 Å, 94.33 102.57 90.00°
Fractional positions:
Tm1 0.099 0.344 0.197
Tm2 0.901 0.656 0.803
Sc1 0.582 0.839 0.164
Sc2 0.418 0.161 0.836
Np1 0.243 0.853 0.486
Np2 0.757 0.147 0.514

- SG = C2/m, No. 12
- ρ (kg/m³) = 9910
- calculated formation energy (eV per formula unit) = 0.578
- energy above the lowest structure with this stoichiometry (eV/atom) = 0.000

***

Density functional theory data (PBE) for a geometry-optimized CsYCl3 structure.

Cell: 5.680 5.680 12.579 Å, 76.95 76.95 90.00°
Fractional positions:
Cl1 0.627 0.872 0.256
Cl2 0.325 0.325 0.349
Cl3 0.128 0.883 0.744
Cl4 0.675 0.675 0.651
Cl5 0.128 0.373 0.744
Cl6 0.117 0.872 0.256
Y1 0.661 0.161 0.678
Y2 0.839 0.339 0.322
Cs1 0.000 0.000 0.000
Cs2 0.250 0.750 0.500

- SG = I-4m2, No. 119
- ρ (kg/m³) = 2833
- raw formation energy (meV/atom) = -1278

***

Density functional theory data (PBE) for a geometry-optimized BaSmGa2 structure.

Cell: 3.860 3.860 7.760 Å, 90.00 90.00 90.00°
Fractional positions:
Ga1 0.000 0.000 0.799
Ga2 0.000 0.000 0.201
Ba1 0.500 0.500 0.500
Sm1 0.500 0.500 0.000

- SG = P4/mmm, No. 123
- ρ (kg/m³) = 6135
- calculated formation energy (eV per formula unit) = -1.756
- energy above the lowest structure with this stoichiometry (eV/atom) = 0.000